18
Lattice="5.038 -4.523 0.000 5.038 4.523 0.000 -2.101 0.000 5.462" Properties=species:S:1:pos:R:3 comment="V2NiO6 PBE with a Hubbard U optimized geometry" e_tot_ev_per_cell=-124.76 mass_density_g_cm3=3.42 pbc="T T T"
V 1.543 0.830 1.334
V 0.493 -0.830 4.065
V 7.482 0.830 1.397
V 6.431 -0.830 4.128
Ni 3.462 0.757 4.097
Ni 4.512 -0.757 1.366
O 1.940 2.111 4.219
O -0.581 0.106 5.157
O 0.469 -0.106 2.426
O 3.135 0.719 1.981
O 4.984 2.111 3.974
O 2.084 -0.719 4.712
O 5.890 0.719 0.750
O 2.990 -2.111 1.488
O 4.840 -0.719 3.481
O 7.505 0.106 3.037
O 8.556 -0.106 0.305
O 6.035 -2.111 1.243